[1]
4
Lattice="4.218 0.000 0.000 2.109 3.653 0.000 2.109 1.218 4.473" Properties=species:S:1:pos:R:3 comment="PBE HfGa2Pt, optimized geometry" energy_ev_per_fu=-24.18 formation_energy_ev_per_atom=-0.5335 pbc="T T T"
Pt 4.218 2.435 2.236
Hf 0.000 0.000 0.000
Ga 2.109 1.218 1.416
Ga 6.327 3.653 3.057

***

[2]
5
Lattice="-0.792 0.610 -4.760 -2.505 -3.611 -0.046 -3.917 2.705 0.998" Properties=species:S:1:pos:R:3 comment="PBE Hf2GaRePt, optimized geometry" energy_ev_per_fu=-36.87 formation_energy_ev_per_atom=0.9102 pbc="T T T"
Ga 0.000 0.000 0.000
Hf -1.958 1.352 0.499
Hf -0.396 0.305 -2.380
Re -3.607 -0.148 -1.904
Pt -1.253 -1.805 -0.023

***

[3]
4
Lattice="4.223 0.000 0.000 0.000 4.223 0.000 -2.111 -2.111 3.588" Properties=species:S:1:pos:R:3 comment="PBE HfGaRuPt, optimized geometry" energy_ev_per_fu=-31.44 formation_energy_ev_per_atom=-0.7861 pbc="T T T"
Ga 2.111 0.000 1.794
Ru 0.000 4.223 0.000
Pt 0.000 0.000 3.588
Hf 0.000 2.112 1.794

***

Q: What is the formula in the third record?
A: HfGaRuPt